Entry 1:
# La2CdMoC (PBE-GGA, relaxed)
# - Calculated total energy: -6.20 eV per atom
# - Crystal system: tetragonal
data_La2CdMoC
_symmetry_space_group_name_H-M 'P 4/m m m'
_symmetry_Int_Tables_number 123
_symmetry_space_group_name_Hall '-P 4 2'
_cell_length_a 5.3931
_cell_length_b 5.3931
_cell_length_c 4.1142
_cell_angle_alpha 90.00
_cell_angle_beta 90.00
_cell_angle_gamma 90.00
loop_
_atom_site_label
_atom_site_type_symbol
_atom_site_fract_x
_atom_site_fract_y
_atom_site_fract_z
La1 La 0.0000 0.5000 0.0000
Cd1 Cd 0.0000 0.0000 0.5000
Mo1 Mo 0.5000 0.5000 0.5000
C1 C 0.5000 0.5000 0.0000

=====

Entry 2:
# La2CdC2N6 (PBE-GGA, relaxed)
# - Formation energy from raw total energies: -0.36 eV per atom
# - Crystal system: triclinic
data_La2CdC2N6
_symmetry_space_group_name_H-M 'P -1'
_symmetry_Int_Tables_number 2
_symmetry_space_group_name_Hall '-P 1'
_cell_length_a 5.5282
_cell_length_b 5.6563
_cell_length_c 6.4229
_cell_angle_alpha 111.11
_cell_angle_beta 103.58
_cell_angle_gamma 101.91
loop_
_atom_site_label
_atom_site_type_symbol
_atom_site_fract_x
_atom_site_fract_y
_atom_site_fract_z
La1 La 0.2327 0.1261 0.3454
Cd1 Cd 0.5000 0.5000 0.0000
C1 C 0.2703 0.7708 0.7492
N1 N 0.1638 0.8264 0.9211
N2 N 0.2619 0.9204 0.6246
N3 N 0.3865 0.5756 0.6982

=====

Entry 3:
# La2NdCdC (PBE-GGA, relaxed)
# - Calculated total energy: -5.11 eV per atom
# - Crystal system: tetragonal
data_La2NdCdC
_symmetry_space_group_name_H-M 'P 4/m m m'
_symmetry_Int_Tables_number 123
_symmetry_space_group_name_Hall '-P 4 2'
_cell_length_a 5.2294
_cell_length_b 5.2294
_cell_length_c 5.1592
_cell_angle_alpha 90.00
_cell_angle_beta 90.00
_cell_angle_gamma 90.00
loop_
_atom_site_label
_atom_site_type_symbol
_atom_site_fract_x
_atom_site_fract_y
_atom_site_fract_z
La1 La 0.0000 0.5000 0.0000
Nd1 Nd 0.0000 0.0000 0.5000
Cd1 Cd 0.5000 0.5000 0.5000
C1 C 0.0000 0.0000 0.0000

=====

no.,magnetic moment (μB/cell),calculated volume (Å³/f.u.)
1,0.62,120
2,2.01,172
3,0.00,141